No. 1
An optimized crystal structure of SrTa2Ir. Source: Alexandria, functional PBE.

Cell lengths 4.9796, 4.9796, 3.0538 Å; angles 90.00, 90.00, 90.00 degrees
Last column: nearest neighbours and their distance in Å.
Atoms (fractional coordinates):
Sr 0.0000 0.0000 0.0000  8 Ta 2.92, 2 Sr 3.05
Ta 0.0000 0.5000 0.5000  4 Ir 2.92, 4 Sr 2.92, 2 Ta 3.05
Ta 0.5000 0.0000 0.5000  4 Ir 2.92, 4 Sr 2.92, 2 Ta 3.05
Ir 0.5000 0.5000 0.0000  8 Ta 2.92, 2 Ir 3.05

Properties
The excess energy over the best structure of this formula in the dataset is 691.9 meV per atom. For the density of states at the Fermi level, the calculation gives 3.457 states/eV/f.u. The calculation puts the raw total energy at -31.0 eV for the cell shown. The energy relative to the elements comes out at 0.807 eV/atom.

=====

No. 2
An optimized crystal structure of Sr2TaIr. Source: Alexandria, functional PBE.

Cell lengths 3.5506, 3.5509, 9.5671 Å; angles 90.00, 90.14, 90.00 degrees
Last column: nearest neighbours and their distance in Å.
Atoms (fractional coordinates):
Sr 0.0000 0.0000 0.0000  1 Ta 3.23, 4 Ir 3.51-3.52, 4 Sr 3.55
Sr 0.4992 0.5000 0.3906  1 Ir 3.37, 4 Sr 3.55, 4 Ta 3.61
Ta 0.0003 0.0000 0.6622  4 Ir 2.63
Ir 0.5004 0.5000 0.7430  4 Ta 2.63

Properties
The excess energy over the best structure of this formula in the dataset is 0.0 meV per atom. For the density of states at the Fermi level, the calculation gives 3.668 states/eV/f.u. The calculation puts the raw total energy at -23.9 eV for the cell shown. The energy relative to the elements comes out at 0.042 eV/atom.

=====

No. 3
An optimized crystal structure of SrTa2Ir. Source: Alexandria, functional PBE.

Cell lengths 5.6694, 5.6694, 2.8769 Å; angles 90.00, 90.00, 121.17 degrees
Last column: nearest neighbours and their distance in Å.
Atoms (fractional coordinates):
Sr 0.0000 0.0000 0.0000  2 Ir 2.78, 2 Sr 2.88
Ta 0.0000 0.5000 0.5000  4 Ta 2.78-2.88
Ta 0.5000 0.0000 0.5000  4 Ta 2.78-2.88
Ir 0.5000 0.5000 0.0000  2 Sr 2.78, 2 Ir 2.88

Properties
The excess energy over the best structure of this formula in the dataset is 623.1 meV per atom. For the density of states at the Fermi level, the calculation gives 3.371 states/eV/f.u. The calculation puts the raw total energy at -31.3 eV for the cell shown. The energy relative to the elements comes out at 0.738 eV/atom.

=====

No. 4
An optimized crystal structure of SrTaIr2. Source: Alexandria, functional PBE.

Cell lengths 3.5642, 3.5642, 7.0041 Å; angles 90.00, 90.00, 90.00 degrees
Last column: nearest neighbours and their distance in Å.
Atoms (fractional coordinates):
Sr 0.0000 0.0000 0.0000  5 Ir 3.13-3.44
Ta 0.5000 0.5000 0.3929  5 Ir 2.40-2.61
Ir 0.0000 0.0000 0.4911  4 Ta 2.61
Ir 0.5000 0.5000 0.7362  1 Ta 2.40

Properties
The excess energy over the best structure of this formula in the dataset is 535.4 meV per atom. For the density of states at the Fermi level, the calculation gives 2.967 states/eV/f.u. The calculation puts the raw total energy at -30.5 eV for the cell shown. The energy relative to the elements comes out at 0.193 eV/atom.